#P
Here is an optimized crystal structure of Li3Cr3FeO8 from Alexandria. Energies are from PBE+U.

Structure (POSCAR):
```
Li3Cr3FeO8
1.0
2.953 1.705 4.866
-2.953 1.705 4.866
0.000 -3.409 4.866
Li Cr Fe O
3 3 1 8
Cartesian
-1.476 -0.852 4.866
-1.476 0.852 9.731
0.000 1.705 4.866
-2.953 0.000 7.298
-1.476 0.852 2.433
1.476 0.852 2.433
0.000 0.000 7.298
0.000 0.000 3.524
-1.412 -0.815 8.338
0.000 -1.631 6.258
-1.412 0.815 6.258
1.412 -0.815 8.338
0.000 1.631 8.338
1.412 0.815 6.258
0.000 0.000 11.073
```

Calculated values
ρ (g/cm3): 4.1
Crystal system: trigonal

#Q
Here is an optimized crystal structure of Li3Cr3FeO8 from Alexandria. Energies are from PBE+U.

Structure (POSCAR):
```
Li3Cr3FeO8
1.0
5.087 -2.939 0.000
5.087 2.939 0.000
-3.438 0.000 4.870
Li Cr Fe O
3 3 1 8
Cartesian
0.000 0.000 0.000
2.544 1.469 0.000
2.544 -1.469 0.000
-1.719 0.000 2.435
0.825 1.469 2.435
0.825 -1.469 2.435
3.369 0.000 2.435
-0.098 0.000 3.479
2.560 1.509 3.478
4.177 1.509 1.392
1.695 0.000 1.357
5.042 0.000 3.514
2.560 -1.509 3.478
4.177 -1.509 1.392
6.835 0.000 1.391
```

Calculated values
ρ (g/cm3): 4.1
Crystal system: monoclinic

From most stable to least stable, the computed energies give #P, #Q.